NiAs7 | PBEsol | optimized geometry

* calculated total energy: -0.176 Ha/atom
* energy of formation from the pure elements: 0.458 eV per atom
* volume: 17.4 Å³/atom
* density of states at the Fermi level: 4.895 states/eV/f.u.

abc: 8.2209 8.2209 8.2209
angles: 90.00 90.00 90.00
With the nearest neighbours (Å) after each atom.
Space group Fm-3m (No. 225)
Asymmetric unit:
Ni 0.0000 0.0000 0.0000  12 As 2.91
As 0.0000 0.0000 0.5000  12 As 2.91
As 0.0000 0.2500 0.2500  10 As 2.91, 2 Ni 2.91


Tc2BiPI | PBEsol | optimized geometry

* calculated total energy: -0.183 Ha/atom
* formation energy without anion corrections: 1.89 eV per atom
* volume: 23.8 Å³/atom
* density of states at the Fermi level: 6.128 states/eV/f.u.

abc: 4.8413 4.8413 5.0716
angles: 90.00 90.00 90.00
With the nearest neighbours (Å) after each atom.
Space group P4/mmm (No. 123)
Asymmetric unit:
Tc 0.0000 0.5000 0.0000  2 I 2.42
Bi 0.0000 0.0000 0.5000  4 P 3.42, 8 Tc 3.51
P 0.5000 0.5000 0.5000  2 I 2.54
I 0.5000 0.5000 0.0000  4 Tc 2.42, 2 P 2.54


Be2RuPb | PBEsol | optimized geometry

* calculated total energy: -0.179 Ha/atom
* energy of formation from the pure elements: 0.672 eV per atom
* energy relative to the lowest polymorph listed for this composition: 337 meV/atom
* volume: 14.1 Å³/atom
* density of states at the Fermi level: 2.243 states/eV/f.u.

abc: 6.0825 6.0825 6.0825
angles: 90.00 90.00 90.00
With the nearest neighbours (Å) after each atom.
Space group F-43m (No. 216)
Asymmetric unit:
Be 0.0000 0.0000 0.0000  4 Ru 2.63, 4 Be 2.63
Be 0.2500 0.2500 0.2500  4 Be 2.63, 4 Pb 2.63
Ru 0.2500 0.2500 0.7500  4 Pb 2.63, 4 Be 2.63
Pb 0.0000 0.0000 0.5000  4 Be 2.63, 4 Ru 2.63


ScGaF3 | PBEsol | optimized geometry

* calculated total energy: -0.213 Ha/atom
* formation energy without anion corrections: -2.64 eV per atom
* volume: 14.7 Å³/atom
* density of states at the Fermi level: 3.513 states/eV/f.u.

abc: 4.1845 4.1845 4.1845
angles: 90.00 90.00 90.00
With the nearest neighbours (Å) after each atom.
Space group Pm-3m (No. 221)
Asymmetric unit:
Sc 0.0000 0.0000 0.0000  6 F 2.09
Ga 0.5000 0.5000 0.5000  12 F 2.96
F 0.0000 0.0000 0.5000  2 Sc 2.09